The following is a DFT calculation (PBE) of a relaxed structure of Pr2SmZn6.

```
Pr2SmZn6
1.0
7.935 0.000 0.000
-3.968 6.872 0.000
0.000 0.000 3.631
Pr Sm Zn
2 1 6
Cartesian
0.000 4.581 0.000
3.968 2.291 0.000
0.000 0.000 0.000
-1.313 2.274 1.816
-2.655 4.598 1.816
2.625 0.000 1.816
1.313 2.274 1.816
5.310 0.000 1.816
2.655 4.598 1.816
```

Magnetization (μB/cell): 0.00
Calculated volume (Å³/atom): 22.0
VASP energy (eV per cell): -25.032
Energy relative to the elements (eV/atom): -0.346

The following is a DFT calculation (PBE) of a relaxed structure of PrSm6Zn2.

```
PrSm6Zn2
1.0
6.348 -1.861 0.000
6.348 1.861 0.000
-3.930 0.000 11.374
Pr Sm Zn
1 6 2
Cartesian
0.000 0.000 0.000
-0.990 0.000 3.763
3.440 0.000 1.430
2.347 0.000 4.673
6.419 0.000 6.701
5.327 0.000 9.943
9.757 0.000 7.610
1.327 0.000 9.004
7.440 0.000 2.370
```

Magnetization (μB/cell): 0.00
Calculated volume (Å³/atom): 29.9
VASP energy (eV per cell): -36.845
Energy above the most stable polymorph in this dataset (meV per atom): 0
Energy relative to the elements (eV/atom): -0.134

The following is a DFT calculation (PBE) of a relaxed structure of PrSm3Zn2.

```
PrSm3Zn2
1.0
3.651 0.000 0.000
0.000 3.651 0.000
0.000 0.000 12.484
Pr Sm Zn
1 3 2
Cartesian
0.000 0.000 0.000
1.825 1.825 2.648
1.825 1.825 6.242
1.825 1.825 9.836
0.000 0.000 4.441
0.000 0.000 8.043
```

Magnetization (μB/cell): 0.00
Calculated volume (Å³/atom): 27.7
VASP energy (eV per cell): -22.786
Energy relative to the elements (eV/atom): -0.217

The following is a DFT calculation (PBE) of a relaxed structure of Pr2Sm2Zn.

```
Pr2Sm2Zn
1.0
-1.838 1.838 11.454
1.838 -1.838 11.454
1.838 1.838 -11.454
Pr Sm Zn
2 2 1
Cartesian
0.000 0.000 4.407
0.000 0.000 18.500
0.000 0.000 9.676
0.000 0.000 13.231
0.000 0.000 0.000
```

Magnetization (μB/cell): 0.00
Calculated volume (Å³/atom): 31.0
VASP energy (eV per cell): -20.880
Energy above the most stable polymorph in this dataset (meV per atom): 0
Energy relative to the elements (eV/atom): -0.122

The following is a DFT calculation (PBE) of a relaxed structure of Pr2Sm6Zn.

```
Pr2Sm6Zn
1.0
9.490 0.000 0.000
-4.745 8.219 0.000
0.000 0.000 3.755
Pr Sm Zn
2 6 1
Cartesian
0.000 5.479 0.000
4.745 2.740 0.000
-1.823 3.157 1.877
-3.535 6.123 0.000
1.210 2.096 0.000
3.645 0.000 1.877
2.922 5.062 1.877
7.070 0.000 0.000
0.000 0.000 1.877
```

Magnetization (μB/cell): 0.00
Calculated volume (Å³/atom): 32.5
VASP energy (eV per cell): -39.516
Energy above the most stable polymorph in this dataset (meV per atom): 0
Energy relative to the elements (eV/atom): -0.041

The following is a DFT calculation (PBE) of a relaxed structure of PrSm3Zn8.

```
PrSm3Zn8
1.0
5.670 0.000 0.000
-2.835 4.910 0.000
0.000 0.000 8.717
Pr Sm Zn
1 3 8
Cartesian
0.000 0.000 0.000
0.000 0.000 3.446
2.835 1.637 4.382
2.835 1.637 7.796
-1.410 2.459 1.739
0.000 1.663 6.064
-1.395 4.079 6.064
0.000 3.273 3.891
0.000 3.273 8.272
1.410 2.459 1.739
0.000 4.902 1.739
1.395 4.079 6.064
```

Magnetization (μB/cell): 0.00
Calculated volume (Å³/atom): 20.2
VASP energy (eV per cell): -32.801
Energy above the most stable polymorph in this dataset (meV per atom): 17
Energy relative to the elements (eV/atom): -0.306

The following is a DFT calculation (PBE) of a relaxed structure of Pr3Sm4Zn4.

```
Pr3Sm4Zn4
1.0
-2.439 3.996 7.994
2.439 -3.996 7.994
2.439 3.996 -7.994
Pr Sm Zn
3 4 4
Cartesian
0.000 0.000 0.000
2.439 0.000 6.204
0.000 3.996 1.791
2.439 1.667 -2.708
2.439 1.667 2.708
0.000 2.329 5.286
0.000 2.329 10.703
0.000 0.000 3.420
2.439 2.697 0.000
0.000 1.299 7.994
0.000 0.000 12.569
```

Magnetization (μB/cell): 0.00
Calculated volume (Å³/atom): 28.3
VASP energy (eV per cell): -39.660
Energy relative to the elements (eV/atom): -0.123

The following is a DFT calculation (PBE) of a relaxed structure of PrSm5Zn6.

```
PrSm5Zn6
1.0
5.156 0.000 0.000
0.000 7.313 0.000
-2.547 0.000 7.749
Pr Sm Zn
1 5 6
Cartesian
0.000 0.000 0.000
0.000 3.656 0.000
0.021 0.000 5.156
0.020 3.656 5.178
2.589 3.656 2.571
2.588 0.000 2.593
0.011 1.849 2.613
0.011 5.464 2.613
2.578 1.856 0.000
2.578 5.456 0.000
2.598 1.849 5.136
2.598 5.464 5.136
```

Magnetization (μB/cell): 0.00
Calculated volume (Å³/atom): 24.3
VASP energy (eV per cell): -39.794
Energy relative to the elements (eV/atom): -0.315

The following is a DFT calculation (PBE) of a relaxed structure of Pr3SmZn2.

```
Pr3SmZn2
1.0
3.716 0.000 0.000
0.000 3.716 0.000
0.000 0.000 12.533
Pr Sm Zn
3 1 2
Cartesian
0.000 0.000 0.000
0.000 0.000 3.664
0.000 0.000 8.869
1.858 1.858 6.267
1.858 1.858 1.846
1.858 1.858 10.687
```

Magnetization (μB/cell): 0.00
Calculated volume (Å³/atom): 28.8
VASP energy (eV per cell): -22.790
Energy above the most stable polymorph in this dataset (meV per atom): 0
Energy relative to the elements (eV/atom): -0.197

The following is a DFT calculation (PBE) of a relaxed structure of Pr3SmZn2.

```
Pr3SmZn2
1.0
2.741 -8.350 0.000
2.741 8.350 0.000
0.000 0.000 3.720
Pr Sm Zn
3 1 2
Cartesian
0.000 0.000 0.000
2.741 3.024 0.000
2.741 -3.024 0.000
2.741 0.000 1.860
2.741 5.728 1.860
2.741 -5.728 1.860
```

Magnetization (μB/cell): 0.00
Calculated volume (Å³/atom): 28.4
VASP energy (eV per cell): -22.292
Energy above the most stable polymorph in this dataset (meV per atom): 83
Energy relative to the elements (eV/atom): -0.114